# Li2AcFeO4

A relaxed structure of Li2AcFeO4 (PBE with a Hubbard U, the Alexandria database).

Properties
E = -6.21 eV per atom
M_tot = 10.0 Bohr magnetons per cell

abc: 6.4004 6.4004 9.7305
angles: 90.00 90.00 148.43
Positions (direct):
Li: 0.0990 0.9010 0.5372
Li: 0.0990 0.9010 0.9628
Li: 0.9010 0.0990 0.0372
Li: 0.9010 0.0990 0.4628
Ac: 0.4254 0.5746 0.7500
Ac: 0.5746 0.4254 0.2500
Fe: 0.2974 0.7026 0.2500
Fe: 0.7026 0.2974 0.7500
O: 0.1175 0.8825 0.7500
O: 0.1876 0.8124 0.1192
O: 0.1876 0.8124 0.3808
O: 0.5000 0.5000 0.0000
O: 0.5000 0.5000 0.5000
O: 0.8124 0.1876 0.6192
O: 0.8124 0.1876 0.8808
O: 0.8825 0.1175 0.2500